# GGA-PBE CeBe2Pt2N, relaxed
data_CeBe2Pt2N
_space_group_name_H-M_alt 'I 4/m m m'
_space_group_IT_number 139
_space_group_name_Hall '-I 4 2'
_cell_length_a 3.877
_cell_length_b 3.877
_cell_length_c 11.281
_cell_angle_alpha 90.00
_cell_angle_beta 90.00
_cell_angle_gamma 90.00
loop_
_atom_site_label
_atom_site_type_symbol
_atom_site_fract_x
_atom_site_fract_y
_atom_site_fract_z
Ce1 Ce 0.000 0.000 0.000
Be1 Be 0.000 0.000 0.360
Pt1 Pt 0.000 0.500 0.250
N1 N 0.000 0.000 0.500
# energy: -79.863 eV for the cell shown

=====

# GGA-PBE Si3PPt, relaxed
data_Si3PPt
_space_group_name_H-M_alt 'I 4 m m'
_space_group_IT_number 107
_space_group_name_Hall 'I 4 -2'
_cell_length_a 3.997
_cell_length_b 3.997
_cell_length_c 10.537
_cell_angle_alpha 90.00
_cell_angle_beta 90.00
_cell_angle_gamma 90.00
loop_
_atom_site_label
_atom_site_type_symbol
_atom_site_fract_x
_atom_site_fract_y
_atom_site_fract_z
Si1 Si 0.000 0.000 0.000
Si2 Si 0.000 0.500 0.138
P1 P 0.000 0.000 0.324
Pt1 Pt 0.000 0.000 0.774
# energy: -54.187 eV for the cell shown

=====

# GGA-PBE TaSe2BrO, relaxed
data_TaSe2BrO
_space_group_name_H-M_alt 'P 4/m m m'
_space_group_IT_number 123
_space_group_name_Hall '-P 4 2'
_cell_length_a 4.170
_cell_length_b 4.170
_cell_length_c 5.380
_cell_angle_alpha 90.00
_cell_angle_beta 90.00
_cell_angle_gamma 90.00
loop_
_atom_site_label
_atom_site_type_symbol
_atom_site_fract_x
_atom_site_fract_y
_atom_site_fract_z
Ta1 Ta 0.000 0.000 0.000
Se1 Se 0.000 0.500 0.500
Br1 Br 0.500 0.500 0.000
O1 O 0.500 0.500 0.500
# energy: -21.985 eV for the cell shown

=====

# GGA-PBE YNClF2, relaxed
data_YNClF2
_space_group_name_H-M_alt 'P 4/m m m'
_space_group_IT_number 123
_space_group_name_Hall '-P 4 2'
_cell_length_a 4.059
_cell_length_b 4.059
_cell_length_c 4.551
_cell_angle_alpha 90.00
_cell_angle_beta 90.00
_cell_angle_gamma 90.00
loop_
_atom_site_label
_atom_site_type_symbol
_atom_site_fract_x
_atom_site_fract_y
_atom_site_fract_z
Y1 Y 0.000 0.000 0.000
N1 N 0.000 0.000 0.500
Cl1 Cl 0.500 0.500 0.000
F1 F 0.000 0.500 0.500
# energy: -25.685 eV for the cell shown

=====

# GGA-PBE Pr4Al3Ge, relaxed
data_Pr4Al3Ge
_space_group_name_H-M_alt 'P m m 2'
_space_group_IT_number 25
_space_group_name_Hall 'P 2 -2'
_cell_length_a 4.180
_cell_length_b 4.569
_cell_length_c 11.608
_cell_angle_alpha 90.00
_cell_angle_beta 90.00
_cell_angle_gamma 90.00
loop_
_atom_site_label
_atom_site_type_symbol
_atom_site_fract_x
_atom_site_fract_y
_atom_site_fract_z
Pr1 Pr 0.000 0.000 0.000
Pr2 Pr 0.000 0.500 0.495
Pr3 Pr 0.500 0.000 0.711
Pr4 Pr 0.500 0.500 0.215
Al1 Al 0.000 0.500 0.787
Al2 Al 0.500 0.000 0.420
Al3 Al 0.500 0.500 0.927
Ge1 Ge 0.000 0.000 0.281
# energy of formation from the pure elements: -48 kJ/mol of atoms

=====

# GGA-PBE Ho2NpSi6, relaxed
data_Ho2NpSi6
_space_group_name_H-M_alt 'P 6/m m m'
_space_group_IT_number 191
_space_group_name_Hall '-P 6 2'
_cell_length_a 7.0240
_cell_length_b 7.0240
_cell_length_c 3.8779
_cell_angle_alpha 90.00
_cell_angle_beta 90.00
_cell_angle_gamma 120.00
loop_
_atom_site_label
_atom_site_type_symbol
_atom_site_fract_x
_atom_site_fract_y
_atom_site_fract_z
Ho1 Ho 0.3333 0.6667 0.0000
Np1 Np 0.0000 0.0000 0.0000
Si1 Si 0.0000 0.3328 0.5000
# energy: -58.791 eV for the cell shown

=====

# GGA-PBE Sr2MgIn6Ir, relaxed
data_Sr2MgIn6Ir
_space_group_name_H-M_alt 'P -1'
_space_group_IT_number 2
_space_group_name_Hall '-P 1'
_cell_length_a 7.288
_cell_length_b 7.316
_cell_length_c 7.439
_cell_angle_alpha 61.01
_cell_angle_beta 61.84
_cell_angle_gamma 60.79
loop_
_atom_site_label
_atom_site_type_symbol
_atom_site_fract_x
_atom_site_fract_y
_atom_site_fract_z
Sr1 Sr 0.176 0.181 0.468
Mg1 Mg 0.500 0.500 0.500
In1 In 0.141 0.345 0.862
In2 In 0.340 0.659 0.858
In3 In 0.345 0.859 0.142
Ir1 Ir 0.000 0.000 0.000
# energy of formation from the pure elements: -20 kJ/mol of atoms

=====

# GGA-PBE Al2ZnRh, relaxed
data_Al2ZnRh
_space_group_name_H-M_alt 'P m m m'
_space_group_IT_number 47
_space_group_name_Hall '-P 2 2'
_cell_length_a 3.009
_cell_length_b 3.467
_cell_length_c 5.530
_cell_angle_alpha 90.00
_cell_angle_beta 90.00
_cell_angle_gamma 90.00
loop_
_atom_site_label
_atom_site_type_symbol
_atom_site_fract_x
_atom_site_fract_y
_atom_site_fract_z
Al1 Al 0.000 0.000 0.242
Zn1 Zn 0.500 0.500 0.500
Rh1 Rh 0.500 0.500 0.000
# energy of formation from the pure elements: -51 kJ/mol of atoms

=====

# GGA-PBE LaCdFeAg2, relaxed
data_LaCdFeAg2
_space_group_name_H-M_alt 'P 4/m m m'
_space_group_IT_number 123
_space_group_name_Hall '-P 4 2'
_cell_length_a 5.105
_cell_length_b 5.105
_cell_length_c 4.768
_cell_angle_alpha 90.00
_cell_angle_beta 90.00
_cell_angle_gamma 90.00
loop_
_atom_site_label
_atom_site_type_symbol
_atom_site_fract_x
_atom_site_fract_y
_atom_site_fract_z
La1 La 0.000 0.000 0.000
Cd1 Cd 0.500 0.500 0.000
Fe1 Fe 0.000 0.000 0.500
Ag1 Ag 0.000 0.500 0.500
# energy of formation from the pure elements: 33 kJ/mol of atoms

=====

# GGA-PBE Pr8CoNi3Cl4, relaxed
data_Pr8CoNi3Cl4
_space_group_name_H-M_alt 'R -3 m'
_space_group_IT_number 166
_space_group_name_Hall '-R 3 2"'
_cell_length_a 8.1207
_cell_length_b 8.1207
_cell_length_c 22.5877
_cell_angle_alpha 90.00
_cell_angle_beta 90.00
_cell_angle_gamma 120.00
loop_
_atom_site_label
_atom_site_type_symbol
_atom_site_fract_x
_atom_site_fract_y
_atom_site_fract_z
Pr1 Pr 0.0000 0.0000 0.2342
Pr2 Pr 0.0052 0.5026 0.2343
Co1 Co 0.0000 0.0000 0.5000
Ni1 Ni 0.0000 0.5000 0.5000
Cl1 Cl 0.0000 0.0000 0.0000
Cl2 Cl 0.0000 0.5000 0.0000
# energy: -252.546 eV for the cell shown

=====

# GGA-PBE LaErOs, relaxed
data_LaErOs
_space_group_name_H-M_alt 'F -4 3 m'
_space_group_IT_number 216
_space_group_name_Hall 'F -4 2 3'
_cell_length_a 6.879
_cell_length_b 6.879
_cell_length_c 6.879
_cell_angle_alpha 90.00
_cell_angle_beta 90.00
_cell_angle_gamma 90.00
loop_
_atom_site_label
_atom_site_type_symbol
_atom_site_fract_x
_atom_site_fract_y
_atom_site_fract_z
La1 La 0.000 0.000 0.000
Er1 Er 0.000 0.000 0.500
Os1 Os 0.250 0.250 0.250
# energy of formation from the pure elements: -15 kJ/mol of atoms

=====

# GGA-PBE Ac3PmTc2N6, relaxed
data_Ac3PmTc2N6
_space_group_name_H-M_alt 'P -3 m 1'
_space_group_IT_number 164
_space_group_name_Hall '-P 3 2"'
_cell_length_a 6.1040
_cell_length_b 6.1040
_cell_length_c 7.0454
_cell_angle_alpha 90.00
_cell_angle_beta 90.00
_cell_angle_gamma 120.00
loop_
_atom_site_label
_atom_site_type_symbol
_atom_site_fract_x
_atom_site_fract_y
_atom_site_fract_z
Ac1 Ac 0.0000 0.0000 0.0000
Ac2 Ac 0.3333 0.6667 0.6939
Pm1 Pm 0.0000 0.0000 0.5000
Tc1 Tc 0.3333 0.6667 0.1868
N1 N 0.1715 0.3429 0.2815
# energy: -96.395 eV for the cell shown

=====

# GGA-PBE Li4Dy2Br9, relaxed
data_Li4Dy2Br9
_space_group_name_H-M_alt 'C 1 2/c 1'
_space_group_IT_number 15
_space_group_name_Hall '-C 2yc'
_cell_length_a 12.185
_cell_length_b 7.035
_cell_length_c 19.025
_cell_angle_alpha 90.00
_cell_angle_beta 90.00
_cell_angle_gamma 90.00
loop_
_atom_site_label
_atom_site_type_symbol
_atom_site_fract_x
_atom_site_fract_y
_atom_site_fract_z
Li1 Li 0.167 0.000 0.165
Li2 Li 0.167 0.000 0.484
Dy1 Dy 0.000 0.500 0.160
Br1 Br 0.000 0.169 0.250
Br2 Br 0.009 0.155 0.583
Br3 Br 0.166 0.335 0.750
Br4 Br 0.168 0.313 0.083
Br5 Br 0.178 0.341 0.417
# energy: -223.603 eV for the cell shown

=====

# GGA-PBE Li3Pd2Au2, relaxed
data_Li3Pd2Au2
_space_group_name_H-M_alt 'P 1 2/m 1'
_space_group_IT_number 10
_space_group_name_Hall '-P 2y'
_cell_length_a 4.366
_cell_length_b 2.759
_cell_length_c 9.246
_cell_angle_alpha 90.00
_cell_angle_beta 103.52
_cell_angle_gamma 90.00
loop_
_atom_site_label
_atom_site_type_symbol
_atom_site_fract_x
_atom_site_fract_y
_atom_site_fract_z
Li1 Li 0.000 0.000 0.000
Li2 Li 0.286 0.000 0.573
Pd1 Pd 0.424 0.000 0.849
Au1 Au 0.150 0.500 0.299
# energy of formation from the pure elements: -35 kJ/mol of atoms

=====

# GGA-PBE Pm11Er9Th4, relaxed
data_Pm11Er9Th4
_space_group_name_H-M_alt 'C m m m'
_space_group_IT_number 65
_space_group_name_Hall '-C 2 2'
_cell_length_a 16.942
_cell_length_b 25.551
_cell_length_c 3.702
_cell_angle_alpha 90.00
_cell_angle_beta 90.00
_cell_angle_gamma 90.00
loop_
_atom_site_label
_atom_site_type_symbol
_atom_site_fract_x
_atom_site_fract_y
_atom_site_fract_z
Pm1 Pm 0.000 0.000 0.000
Pm2 Pm 0.000 0.158 0.000
Pm3 Pm 0.000 0.367 0.000
Pm4 Pm 0.209 0.500 0.000
Pm5 Pm 0.227 0.181 0.000
Er1 Er 0.000 0.500 0.500
Er2 Er 0.101 0.264 0.500
Er3 Er 0.139 0.073 0.500
Th1 Th 0.156 0.398 0.500
# energy of formation from the pure elements: 11 kJ/mol of atoms

=====

# GGA-PBE Ca2PaAs3Pt4, relaxed
data_Ca2PaAs3Pt4
_space_group_name_H-M_alt 'P -4 m 2'
_space_group_IT_number 115
_space_group_name_Hall 'P -4 -2'
_cell_length_a 4.243
_cell_length_b 4.243
_cell_length_c 11.665
_cell_angle_alpha 90.00
_cell_angle_beta 90.00
_cell_angle_gamma 90.00
loop_
_atom_site_label
_atom_site_type_symbol
_atom_site_fract_x
_atom_site_fract_y
_atom_site_fract_z
Ca1 Ca 0.000 0.500 0.221
Pa1 Pa 0.000 0.000 0.500
As1 As 0.000 0.500 0.877
As2 As 0.500 0.500 0.500
Pt1 Pt 0.000 0.000 0.000
Pt2 Pt 0.000 0.500 0.665
Pt3 Pt 0.500 0.500 0.000
# energy of formation from the pure elements: -74 kJ/mol of atoms

=====

# GGA-PBE Hf2ScOs, relaxed
data_Hf2ScOs
_space_group_name_H-M_alt 'P 4/m m m'
_space_group_IT_number 123
_space_group_name_Hall '-P 4 2'
_cell_length_a 3.270
_cell_length_b 3.270
_cell_length_c 7.504
_cell_angle_alpha 90.00
_cell_angle_beta 90.00
_cell_angle_gamma 90.00
loop_
_atom_site_label
_atom_site_type_symbol
_atom_site_fract_x
_atom_site_fract_y
_atom_site_fract_z
Hf1 Hf 0.000 0.000 0.215
Sc1 Sc 0.500 0.500 0.500
Os1 Os 0.500 0.500 0.000
# energy of formation from the pure elements: -21 kJ/mol of atoms

=====

# GGA-PBE YRuPt, relaxed
data_YRuPt
_space_group_name_H-M_alt 'P -6 m 2'
_space_group_IT_number 187
_space_group_name_Hall 'P -6 2'
_cell_length_a 4.4095
_cell_length_b 4.4095
_cell_length_c 3.5484
_cell_angle_alpha 90.00
_cell_angle_beta 90.00
_cell_angle_gamma 120.00
loop_
_atom_site_label
_atom_site_type_symbol
_atom_site_fract_x
_atom_site_fract_y
_atom_site_fract_z
Y1 Y 0.0000 0.0000 0.0000
Ru1 Ru 0.6667 0.3333 0.5000
Pt1 Pt 0.3333 0.6667 0.5000
# energy of formation from the pure elements: -47 kJ/mol of atoms

=====

# GGA-PBE AlCoB2S, relaxed
data_AlCoB2S
_space_group_name_H-M_alt 'P 4/m m m'
_space_group_IT_number 123
_space_group_name_Hall '-P 4 2'
_cell_length_a 4.041
_cell_length_b 4.041
_cell_length_c 4.821
_cell_angle_alpha 90.00
_cell_angle_beta 90.00
_cell_angle_gamma 90.00
loop_
_atom_site_label
_atom_site_type_symbol
_atom_site_fract_x
_atom_site_fract_y
_atom_site_fract_z
Al1 Al 0.000 0.000 0.000
Co1 Co 0.500 0.500 0.500
B1 B 0.000 0.500 0.000
S1 S 0.000 0.000 0.500
# energy: -20.669 eV for the cell shown

=====

# GGA-PBE MgTc2AuN, relaxed
data_MgTc2AuN
_space_group_name_H-M_alt 'P 4/m m m'
_space_group_IT_number 123
_space_group_name_Hall '-P 4 2'
_cell_length_a 4.857
_cell_length_b 4.857
_cell_length_c 4.692
_cell_angle_alpha 90.00
_cell_angle_beta 90.00
_cell_angle_gamma 90.00
loop_
_atom_site_label
_atom_site_type_symbol
_atom_site_fract_x
_atom_site_fract_y
_atom_site_fract_z
Mg1 Mg 0.000 0.000 0.000
Tc1 Tc 0.000 0.500 0.000
Au1 Au 0.000 0.000 0.500
N1 N 0.500 0.500 0.500
# energy: -20.402 eV for the cell shown